{
  "formula": "LiMo2Ir",
  "functional": "GGA-PBE",
  "state": "optimized geometry",
  "magnetic_moment_mub_per_cell": 0.0,
  "energy_ev_per_atom": -7.983,
  "spacegroup": "Pmmm",
  "relative_energy_kcal_per_mol_atoms": 2.443,
  "cell": [[3.044, 0.000, 0.000], [0.000, 4.243, 0.000], [0.000, 0.000, 4.495]],
  "species": ["Ir", "Mo", "Li", "Mo"],
  "fractional_positions": [[0.500, 0.000, 0.500], [0.500, 0.500, 0.000], [0.000, 0.500, 0.500], [0.000, 0.000, 0.000]]
}